Below is an optimized crystal structure of Ti4AlH, with properties calculated at the PBE level.

Structure (POSCAR):
```
Ti4AlH
1.0
-4.1683 0.6879 -2.0295
-1.7713 -4.9252 1.9685
0.7645 5.0930 5.4880
Ti Al H
8 2 2
Direct
0.3823 0.1306 0.7698
0.0000 0.2494 0.0000
0.0000 0.7506 0.0000
0.3823 0.6392 0.7698
0.6177 0.3608 0.2302
0.6177 0.8694 0.2302
0.1997 0.6991 0.3982
0.8003 0.3009 0.6018
0.1881 0.1870 0.3739
0.8119 0.8130 0.6261
0.7009 0.4239 0.8477
0.2991 0.5761 0.1523
```

V ... 173 Å³/cell
Space group ... C2/m
DFT total energy ... -6.669 eV per atom
Magnetization ... 0.000 μB per atom